(1)
This record from Alexandria via LeMat-Bulk describes a PBEsol-optimized structure of TaPd2C. The functional is meta-GGA SCAN.

Cell: 5.433 5.433 5.433 Å, 99.97 99.97 130.81°
Element x y z (fractional)
Ta: 0.000 0.000 0.000
Ta: 0.750 0.250 0.500
Pd: 0.229 0.125 0.604
Pd: 0.375 0.771 0.896
Pd: 0.521 0.625 0.396
Pd: 0.875 0.479 0.104
C: 0.250 0.750 0.500
C: 0.500 0.500 0.000

Output
As for the energy of formation from the pure elements: 0.38 eV per atom. The total energy is -35.18 eV per atom. The density of states at the Fermi level is 3.8 states/eV/cell.



(2)
This record from Alexandria via LeMat-Bulk describes a PBEsol-optimized structure of Be2NbAsIr. The functional is meta-GGA SCAN.

Cell: 4.074 4.074 4.795 Å, 90.00 90.00 90.00°
Element x y z (fractional)
Be: 0.000 0.500 0.000
Be: 0.500 0.000 0.000
Nb: 0.000 0.000 0.500
As: 0.500 0.500 0.500
Ir: 0.500 0.500 0.000

Output
As for the energy of formation from the pure elements: 0.45 eV per atom. The total energy is -26.18 eV per atom. The density of states at the Fermi level is 3.5 states/eV/cell.



(3)
This record from Alexandria via LeMat-Bulk describes a PBEsol-optimized structure of KRb2AsN. The functional is meta-GGA SCAN.

Cell: 6.989 6.989 5.421 Å, 90.00 90.00 90.00°
Element x y z (fractional)
K: 0.000 0.000 0.000
Rb: 0.000 0.500 0.000
Rb: 0.500 0.000 0.000
As: 0.000 0.000 0.500
N: 0.500 0.500 0.500

Output
Its energy relative to the elements, uncorrected is 1.010 eV per atom. The total energy is -14.85 eV per atom. The density of states at the Fermi level is 2.2 states/eV/cell.



(4)
This record from Alexandria via LeMat-Bulk describes a PBEsol-optimized structure of KCuSe2. The functional is meta-GGA SCAN.

Cell: 5.461 5.461 2.762 Å, 90.00 90.00 90.09°
Element x y z (fractional)
K: 0.000 0.000 0.000
Cu: 0.500 0.500 0.000
Se: 0.000 0.500 0.500
Se: 0.500 0.000 0.500

Output
Its energy relative to the elements, uncorrected is -0.108 eV per atom. The total energy is -16.03 eV per atom. The density of states at the Fermi level is 1.7 states/eV/cell.



(5)
This record from Alexandria via LeMat-Bulk describes a PBEsol-optimized structure of ScSe2F. The functional is meta-GGA SCAN.

Cell: 4.557 4.557 4.557 Å, 60.00 60.00 60.00°
Element x y z (fractional)
Sc: 0.000 0.000 0.000
Se: 0.250 0.250 0.250
Se: 0.750 0.750 0.750
F: 0.500 0.500 0.500

Output
Its energy relative to the elements, uncorrected is -1.161 eV per atom. The total energy is -15.64 eV per atom. The density of states at the Fermi level is 4.5 states/eV/cell.



(6)
This record from Alexandria via LeMat-Bulk describes a PBEsol-optimized structure of PSeBrO2. The functional is meta-GGA SCAN.

Cell: 3.739 3.739 5.248 Å, 90.00 90.00 90.00°
Element x y z (fractional)
P: 0.000 0.000 0.000
Se: 0.000 0.000 0.500
Br: 0.500 0.500 0.000
O: 0.000 0.500 0.500
O: 0.500 0.000 0.500

Output
Its energy relative to the elements, uncorrected is 0.159 eV per atom. The total energy is -12.32 eV per atom. The density of states at the Fermi level is 1.9 states/eV/cell.



- Number 1 is which compound?
  TaPd2C



What did the first record say?
This record from Alexandria via LeMat-Bulk describes a PBEsol-optimized structure of TaPd2C. The functional is meta-GGA SCAN.

Cell: 5.433 5.433 5.433 Å, 99.97 99.97 130.81°
Element x y z (fractional)
Ta: 0.000 0.000 0.000
Ta: 0.750 0.250 0.500
Pd: 0.229 0.125 0.604
Pd: 0.375 0.771 0.896
Pd: 0.521 0.625 0.396
Pd: 0.875 0.479 0.104
C: 0.250 0.750 0.500
C: 0.500 0.500 0.000

Output
As for the energy of formation from the pure elements: 0.38 eV per atom. The total energy is -35.18 eV per atom. The density of states at the Fermi level is 3.8 states/eV/cell.



Copy entry 1 word for word.
This record from Alexandria via LeMat-Bulk describes a PBEsol-optimized structure of TaPd2C. The functional is meta-GGA SCAN.

Cell: 5.433 5.433 5.433 Å, 99.97 99.97 130.81°
Element x y z (fractional)
Ta: 0.000 0.000 0.000
Ta: 0.750 0.250 0.500
Pd: 0.229 0.125 0.604
Pd: 0.375 0.771 0.896
Pd: 0.521 0.625 0.396
Pd: 0.875 0.479 0.104
C: 0.250 0.750 0.500
C: 0.500 0.500 0.000

Output
As for the energy of formation from the pure elements: 0.38 eV per atom. The total energy is -35.18 eV per atom. The density of states at the Fermi level is 3.8 states/eV/cell.